Entry from Alexandria via LeMat-Bulk: a geometry-optimized Cr2PO structure (GGA+U). Values from VASP.

Structure (Quantum ESPRESSO input):
```
&SYSTEM
  ibrav = 0, nat = 4, ntyp = 3
/
ATOMIC_SPECIES
Cr 52.00 Cr.upf
P 30.97 P.upf
O 16.00 O.upf
ATOMIC_POSITIONS crystal
Cr 0.2500 0.2500 0.2500
Cr 0.7500 0.7500 0.7500
P 0.0000 0.0000 0.0000
O 0.5000 0.5000 0.5000
CELL_PARAMETERS angstrom
0.0000 2.9631 2.9631
2.9631 0.0000 2.9631
2.9631 2.9631 0.0000
```

Computed properties:
E above lowest polymorph: 364 meV per atom
DFT total energy: -6.54 eV/atom